Dy2Ga4CoNi3 | PBE | relaxed

The space group is P-4m2 (No. 115) and the conventional cell measures 4.015, 4.015 and 10.102 Å, with angles of 90.00, 90.00 and 90.00 degrees. The distinct sites, in fractional coordinates, are Dy at (0.000, 0.500, 0.247), Ga at (0.000, 0.000, 0.500), Ga at (0.000, 0.500, 0.872), Ga at (0.500, 0.500, 0.500), Co at (0.500, 0.500, 0.000), Ni at (0.000, 0.000, 0.000) and Ni at (0.000, 0.500, 0.636).

The calculation puts the theoretical density at 8.557 g/cm3. As for the formation energy from the elements: -52 kJ/mol of atoms.